Here is a relaxed structure of PaCo2Ni4 from Alexandria. Energies are from PBE.

The structure in POSCAR format:
```
PaCo2Ni4
1.0
4.225 0.003 2.262
1.967 4.338 1.406
0.069 -0.314 4.955
Ni Co Pa
4 2 1
Cartesian
4.206 2.310 7.383
2.055 1.717 1.240
1.305 -0.123 2.644
4.957 4.149 5.979
4.187 2.013 4.876
2.074 2.013 3.747
4.225 0.003 2.262
```

ΔH_f (0 K) ... -1.809 eV/f.u.
Space group ... Immm, No. 71
Magnetization ... 3.42 μB per cell